Entry 1:
DFT (PBE) results for a relaxed structure of Dy3TmMg.

## Properties
space-group type: C2/m, No. 12
M_tot: 0.0 μB per formula unit
E: -39.9 eV for the cell shown
energy relative to the lowest polymorph listed for this composition: 0 meV per atom

a = 6.623 Å, b = 6.623 Å, c = 12.864 Å
α = 93.08°, β = 93.08°, γ = 31.79°
Atoms (fractional coordinates):
Dy: 0.133 0.133 0.477
Dy: 0.265 0.265 0.736
Dy: 0.349 0.349 0.064
Dy: 0.651 0.651 0.936
Dy: 0.735 0.735 0.264
Dy: 0.867 0.867 0.523
Tm: 0.465 0.465 0.312
Tm: 0.535 0.535 0.688
Mg: 0.063 0.063 0.125
Mg: 0.937 0.937 0.875

Entry 2:
DFT (PBE) results for a relaxed structure of Dy3TmMg6.

## Properties
space-group type: P2_1/m, No. 11
M_tot: 0.1 μB per formula unit
E: -56.9 eV for the cell shown

a = 9.238 Å, b = 5.255 Å, c = 11.217 Å
α = 90.00°, β = 105.56°, γ = 90.00°
Atoms (fractional coordinates):
Dy: 0.043 0.250 0.397
Dy: 0.148 0.750 0.205
Dy: 0.249 0.250 0.005
Dy: 0.751 0.750 0.995
Dy: 0.852 0.250 0.795
Dy: 0.957 0.750 0.603
Tm: 0.451 0.250 0.599
Tm: 0.549 0.750 0.401
Mg: 0.058 0.750 0.900
Mg: 0.164 0.250 0.706
Mg: 0.258 0.750 0.510
Mg: 0.355 0.750 0.806
Mg: 0.358 0.250 0.303
Mg: 0.454 0.750 0.102
Mg: 0.546 0.250 0.898
Mg: 0.642 0.750 0.697
Mg: 0.645 0.250 0.194
Mg: 0.742 0.250 0.490
Mg: 0.836 0.750 0.294
Mg: 0.942 0.250 0.100

Entry 3:
DFT (PBE) results for a relaxed structure of Dy2Tm2Mg7.

## Properties
space-group type: Imm2, No. 44
M_tot: 0.0 μB per formula unit
E: -28.6 eV for the cell shown

a = 8.623 Å, b = 8.623 Å, c = 8.623 Å
α = 144.54°, β = 65.85°, γ = 126.48°
Atoms (fractional coordinates):
Dy: 0.218 0.000 0.218
Dy: 0.782 0.000 0.782
Tm: 0.164 0.164 0.000
Tm: 0.479 0.979 0.500
Mg: 0.046 0.689 0.356
Mg: 0.316 0.470 0.846
Mg: 0.333 0.689 0.644
Mg: 0.624 0.470 0.154
Mg: 0.701 0.319 0.382
Mg: 0.751 0.751 0.000
Mg: 0.937 0.319 0.618